# Co2PdO

Co2PdO after structural relaxation (PBE with a Hubbard U, the Alexandria database).

## Properties
DFT total energy: -40.9 eV/cell
DOS at the Fermi energy: 2.0 states/eV/f.u.
crystal system: tetragonal
volume: 112.7 Å³ per cell

Cell lengths 5.2827, 5.2827, 5.2827 Å; angles 112.34, 112.34, 103.87 degrees
Sites, in units of the cell vectors:
Co  0.0403  0.6250  0.9153
Co  0.3750  0.2903  0.4153
Co  0.7097  0.1250  0.0847
Co  0.8750  0.9597  0.5847
Pd  0.2500  0.7500  0.5000
Pd  0.5000  0.5000  0.0000
O  0.0000  0.0000  0.0000
O  0.7500  0.2500  0.5000

---

# CoPdPtO4

CoPdPtO4 after structural relaxation (PBE with a Hubbard U, the Alexandria database).

## Properties
DFT total energy: -79.1 eV/cell
DOS at the Fermi energy: 4.0 states/eV/f.u.
crystal system: orthorhombic
volume: 208.4 Å³ per cell

Cell lengths 7.6053, 7.6053, 7.6053 Å; angles 136.31, 135.96, 63.77 degrees
Sites, in units of the cell vectors:
Co  0.3718  0.1218  0.2500
Co  0.6282  0.8782  0.7500
Pd  0.0000  0.5000  0.5000
Pd  0.5000  0.5000  0.0000
Pt  0.0000  0.0000  0.5000
Pt  0.0000  0.5000  0.0000
O  0.1740  0.2017  0.9723
O  0.2707  0.7983  0.4723
O  0.2942  0.3178  0.5235
O  0.2942  0.7707  0.9765
O  0.7058  0.2293  0.0235
O  0.7058  0.6822  0.4765
O  0.7293  0.2017  0.5277
O  0.8260  0.7983  0.0277

---

# RbCoPdO2

RbCoPdO2 after structural relaxation (PBE with a Hubbard U, the Alexandria database).

## Properties
DFT total energy: -49.0 eV/cell
crystal system: monoclinic
volume: 184.0 Å³ per cell

Cell lengths 6.2141, 4.5115, 6.6865 Å; angles 90.00, 100.96, 90.00 degrees
Sites, in units of the cell vectors:
Rb  0.0000  0.2459  0.2500
Rb  0.0000  0.7541  0.7500
Co  0.5000  0.5000  0.0000
Co  0.5000  0.5000  0.5000
Pd  0.5000  0.1059  0.7500
Pd  0.5000  0.8941  0.2500
O  0.3057  0.2021  0.9677
O  0.3057  0.7979  0.4677
O  0.6943  0.2021  0.5323
O  0.6943  0.7979  0.0323

---

# Rb2CoPdO4

Rb2CoPdO4 after structural relaxation (PBE with a Hubbard U, the Alexandria database).

## Properties
DFT total energy: -79.3 eV/cell
crystal system: orthorhombic
volume: 387.1 Å³ per cell

Cell lengths 11.9771, 10.2384, 7.4276 Å; angles 83.76, 58.19, 38.06 degrees
Sites, in units of the cell vectors:
Rb  0.0458  0.0458  0.7042
Rb  0.2958  0.2958  0.9542
Rb  0.7042  0.7042  0.0458
Rb  0.9542  0.9542  0.2958
Co  0.3750  0.3750  0.3750
Co  0.6250  0.6250  0.6250
Pd  0.1250  0.1250  0.1250
Pd  0.8750  0.8750  0.8750
O  0.0579  0.6879  0.5096
O  0.2447  0.5096  0.6879
O  0.3121  0.9421  0.7553
O  0.4904  0.7553  0.9421
O  0.5096  0.2447  0.0579
O  0.6879  0.0579  0.2447
O  0.7553  0.4904  0.3121
O  0.9421  0.3121  0.4904

---

> Which formula does entry 2 have?

CoPdPtO4

---

> Which of these has the highest DFT total energy?

Co2PdO

---

> Which value of DFT total energy does entry 1 give?

-40.9 eV/cell